Record 1
The following is a PBE calculation of an optimized crystal structure of NiAu2, from Alexandria.

Summary:
N(E_F) (states/eV per atom): 2.0473
Crystal system: hexagonal
ρ (Mg/m³): 13.32
Calculated total energy (eV/atom): -3.601
Energy of formation (kJ/mol of formula units): 148

Geometry as CIF:
```
data_NiAu2
_chemical_formula_sum 'Ni4 Au8'
_symmetry_space_group_name_H-M 'P 1'
_symmetry_Int_Tables_number 1
_symmetry_space_group_name_Hall 'P 1'
_cell_length_a 5.385
_cell_length_b 5.385
_cell_length_c 8.987
_cell_angle_alpha 90.00
_cell_angle_beta 90.00
_cell_angle_gamma 120.00
loop_
_atom_site_label
_atom_site_type_symbol
_atom_site_fract_x
_atom_site_fract_y
_atom_site_fract_z
Ni1 Ni 0.333 0.667 0.003
Ni2 Ni 0.333 0.667 0.497
Ni3 Ni 0.667 0.333 0.503
Ni4 Ni 0.667 0.333 0.997
Au1 Au 0.000 0.000 0.000
Au2 Au 0.000 0.000 0.500
Au3 Au 0.169 0.339 0.750
Au4 Au 0.169 0.831 0.750
Au5 Au 0.339 0.169 0.250
Au6 Au 0.661 0.831 0.750
Au7 Au 0.831 0.169 0.250
Au8 Au 0.831 0.661 0.250
```

***

Record 2
The following is a PBE calculation of an optimized crystal structure of K2NaAlSn2, from Alexandria.

Summary:
N(E_F) (states/eV per atom): 0.3980
Crystal system: orthorhombic
ρ (Mg/m³): 2.96
Calculated total energy (eV/atom): -2.680
Energy of formation (kJ/mol of formula units): -79

Geometry as CIF:
```
data_K2NaAlSn2
_chemical_formula_sum 'K4 Na2 Al2 Sn4'
_symmetry_space_group_name_H-M 'P 1'
_symmetry_Int_Tables_number 1
_symmetry_space_group_name_Hall 'P 1'
_cell_length_a 7.211
_cell_length_b 6.785
_cell_length_c 9.739
_cell_angle_alpha 110.38
_cell_angle_beta 111.73
_cell_angle_gamma 90.00
loop_
_atom_site_label
_atom_site_type_symbol
_atom_site_fract_x
_atom_site_fract_y
_atom_site_fract_z
K1 K 0.404 0.173 0.346
K2 K 0.596 0.827 0.654
K3 K 0.058 0.327 0.654
K4 K 0.942 0.673 0.346
Na1 Na 0.000 0.750 0.000
Na2 Na 0.000 0.250 0.000
Al1 Al 0.500 0.750 0.000
Al2 Al 0.500 0.250 0.000
Sn1 Sn 0.805 0.100 0.200
Sn2 Sn 0.395 0.600 0.200
Sn3 Sn 0.605 0.400 0.800
Sn4 Sn 0.195 0.900 0.800
```

***

Record 3
The following is a PBE calculation of an optimized crystal structure of BaZr2Pb, from Alexandria.

Summary:
N(E_F) (states/eV per atom): 1.3404
Crystal system: orthorhombic
ρ (Mg/m³): 7.32
Calculated total energy (eV/atom): -5.389
Energy of formation (kJ/mol of formula units): 113

Geometry as CIF:
```
data_BaZr2Pb
_chemical_formula_sum 'Ba1 Zr2 Pb1'
_symmetry_space_group_name_H-M 'P 1'
_symmetry_Int_Tables_number 1
_symmetry_space_group_name_Hall 'P 1'
_cell_length_a 6.881
_cell_length_b 6.881
_cell_length_c 6.881
_cell_angle_alpha 151.66
_cell_angle_beta 128.88
_cell_angle_gamma 59.49
loop_
_atom_site_label
_atom_site_type_symbol
_atom_site_fract_x
_atom_site_fract_y
_atom_site_fract_z
Ba1 Ba 0.750 0.250 0.500
Pb1 Pb 0.250 0.750 0.500
Zr1 Zr 0.031 0.031 0.000
Zr2 Zr 0.469 0.469 0.000
```